No. 1
The following is a PBE calculation of a geometry-optimized Zn5Cd3 structure, from Alexandria via LeMat-Bulk.

Lattice parameters (Å, degrees): 7.166 7.166 9.290 92.39 92.39 139.91
Positions (direct):
1 Zn 0.000 0.000 0.000
2 Zn 0.031 0.237 0.763
3 Zn 0.159 0.752 0.314
4 Zn 0.237 0.031 0.763
5 Zn 0.330 0.528 0.331
6 Zn 0.524 0.795 0.880
7 Zn 0.528 0.330 0.331
8 Zn 0.531 0.531 0.092
9 Zn 0.752 0.159 0.314
10 Zn 0.795 0.524 0.880
11 Cd 0.036 0.412 0.052
12 Cd 0.412 0.036 0.052
13 Cd 0.528 0.528 0.631
14 Cd 0.529 0.929 0.587
15 Cd 0.929 0.529 0.587
16 Cd 0.948 0.948 0.402

Computed properties:
The energy above the most stable polymorph in this dataset is 0 meV per atom.



No. 2
The following is a PBE calculation of a geometry-optimized Tb2PrNdSm2 structure, from Alexandria via LeMat-Bulk.

Lattice parameters (Å, degrees): 6.666 18.144 3.434 90.00 90.00 90.00
Positions (direct):
1 Tb 0.222 0.149 0.000
2 Tb 0.278 0.649 0.500
3 Tb 0.722 0.351 0.500
4 Tb 0.778 0.851 0.000
5 Pr 0.000 0.500 0.500
6 Pr 0.500 0.000 0.000
7 Nd 0.000 0.000 0.500
8 Nd 0.500 0.500 0.000
9 Sm 0.224 0.314 0.500
10 Sm 0.276 0.814 0.000
11 Sm 0.724 0.186 0.000
12 Sm 0.776 0.686 0.500

Computed properties:
Its final energy is -4.45 eV per atom.